(1)
Material: Tm2Sc3US6
Method: DFT, PBE
State: relaxed

a b c (Å): 16.4858 3.7466 7.6159
angles (deg): 90.00 103.67 90.00
Last column: nearest neighbours and their distance in Å.
Space group C2/m (No. 12)
One atom of each set of equivalent atoms:
Tm 0.1626 0.0000 0.3262 (multiplicity 4)  6 S 2.67-2.73
Sc 0.0000 0.5000 0.5000 (multiplicity 2)  6 S 2.60-2.67
Sc 0.1662 0.0000 0.8388 (multiplicity 4)  6 S 2.60-2.67
U 0.0000 0.5000 0.0000 (multiplicity 2)  6 S 2.75
S 0.0040 0.0000 0.7387 (multiplicity 4)  3 Sc 2.60, 1 Tm 2.67, 2 U 2.75
S 0.1668 0.5000 0.5890 (multiplicity 4)  3 Sc 2.67, 3 Tm 2.73
S 0.1714 0.5000 0.0789 (multiplicity 4)  3 Sc 2.60-2.61, 2 Tm 2.68, 1 U 2.75

Values from the calculation:
**E**: -7.133 eV/atom
**M_tot**: 3.06 μB/f.u.
**Energy relative to the elements, uncorrected**: -173.7 kJ/mol of atoms

(2)
Material: SmRuW
Method: DFT, PBE
State: relaxed

a b c (Å): 4.8808 9.2024 21.0913
angles (deg): 90.00 90.00 90.00
Last column: nearest neighbours and their distance in Å.
Space group Fddd (No. 70, origin choice 2)
One atom of each set of equivalent atoms:
Sm 0.1250 0.2911 0.1250 (multiplicity 16)  3 Sm 2.89-3.06, 4 W 3.02-3.04, 4 Ru 3.23
Ru 0.1250 0.1250 0.5553 (multiplicity 16)  4 W 2.69-2.87, 1 Ru 2.94
W 0.1250 0.1250 0.0017 (multiplicity 16)  2 W 2.61, 4 Ru 2.69-2.87

Values from the calculation:
**E**: -8.437 eV/atom
**Energy of formation from the pure elements**: 0.546 eV/atom
**M_tot**: 0.00 μB/f.u.

(3)
Material: ScPPt3
Method: DFT, PBE
State: relaxed

a b c (Å): 4.7869 4.7869 4.7869
angles (deg): 90.00 90.00 90.00
Last column: nearest neighbours and their distance in Å.
Space group Pm-3m (No. 221)
One atom of each set of equivalent atoms:
Sc 0.0000 0.0000 0.0000 (multiplicity 1)  6 Pt 2.39
P 0.5000 0.5000 0.5000 (multiplicity 1)  12 Pt 3.38
Pt 0.0000 0.0000 0.5000 (multiplicity 3)  2 Sc 2.39

Values from the calculation:
**E**: -5.018 eV/atom
**Energy of formation from the pure elements**: 0.955 eV/atom
**M_tot**: 0.00 μB/f.u.

(4)
Material: Na2Ir2PdS6
Method: DFT, PBE
State: relaxed

a b c (Å): 6.2765 10.9230 6.7471
angles (deg): 90.00 107.80 90.00
Last column: nearest neighbours and their distance in Å.
Space group C2/m (No. 12)
One atom of each set of equivalent atoms:
Na 0.0000 0.1631 0.0000 (multiplicity 4)  6 S 2.90-2.93
Ir 0.0000 0.3326 0.5000 (multiplicity 4)  6 S 2.39-2.41
Pd 0.0000 0.0000 0.5000 (multiplicity 2)  6 S 2.42-2.43
S 0.2244 0.5000 0.6853 (multiplicity 4)  2 Ir 2.41, 1 Pd 2.42
S 0.2286 0.1691 0.6842 (multiplicity 8)  2 Ir 2.39-2.40, 1 Pd 2.43

Values from the calculation:
**E**: -5.137 eV/atom
**M_tot**: 0.00 μB/f.u.
**Energy relative to the elements, uncorrected**: -54.3 kJ/mol of atoms

(5)
Material: BaH6C4O10
Method: DFT, PBE
State: relaxed

a b c (Å): 14.5540 5.5183 12.7481
angles (deg): 90.00 115.37 90.00
Last column: nearest neighbours and their distance in Å.
Space group C2/c (No. 15)
One atom of each set of equivalent atoms:
Ba 0.0000 0.1586 0.2500 (multiplicity 4)  10 O 2.85-3.01
H 0.1063 0.0955 0.0345 (multiplicity 8)  1 O 1.09
H 0.1816 0.2884 0.8033 (multiplicity 8)  1 O 0.98
H 0.2183 0.1115 0.7334 (multiplicity 8)  1 O 0.98
C 0.0255 0.3976 0.9807 (multiplicity 8)  2 O 1.23-1.32
C 0.2330 0.1622 0.5366 (multiplicity 8)  2 O 1.26-1.28
O 0.0213 0.3905 0.8821 (multiplicity 8)  1 C 1.23
O 0.0720 0.2393 0.0640 (multiplicity 8)  1 H 1.09
O 0.1404 0.0924 0.4867 (multiplicity 8)  1 C 1.28, 1 H 1.40
O 0.1736 0.1219 0.7730 (multiplicity 8)  2 H 0.98
O 0.2037 0.3956 0.3629 (multiplicity 8)  1 C 1.26

Values from the calculation:
**E**: -6.471 eV/atom
**M_tot**: 0.04 μB/f.u.

(6)
Material: CaGa2Os
Method: DFT, PBE
State: relaxed

a b c (Å): 4.9549 4.9549 16.4904
angles (deg): 90.00 90.00 90.00
Last column: nearest neighbours and their distance in Å.
Space group I-42d (No. 122)
One atom of each set of equivalent atoms:
Ca 0.0000 0.0000 0.0000 (multiplicity 4)  8 Ga 3.32-3.60, 4 Os 3.50
Ga 0.0393 0.2500 0.6250 (multiplicity 8)  2 Os 2.41, 2 Ga 2.51
Os 0.0000 0.0000 0.5000 (multiplicity 4)  4 Ga 2.41

Values from the calculation:
**E**: -4.693 eV/atom
**Energy of formation from the pure elements**: 0.128 eV/atom
**M_tot**: 0.00 μB/f.u.

> Which of these has the highest E?

CaGa2Os

> Which value of E does entry 2 give?

-8.437 eV/atom

> What is the E in the first record?

-7.133 eV/atom